DFT (PBE) results for an optimized crystal structure of SrGeOs2N.

The structure in extended XYZ format:
```
5
Lattice="-1.274 -2.407 -3.596 4.759 1.736 -2.848 2.253 -3.569 1.590" Properties=species:S:1:pos:R:3 pbc="T T T"
Sr 2.379 0.868 -1.424
Ge 0.000 0.000 0.000
Os 1.127 -1.784 0.795
Os -0.637 -1.203 -1.798
N 2.869 -2.120 -2.427
```

Output
D(E_F) in states/eV per atom: 1.75
Volume in Å³ per atom: 23.64
Energy relative to the elements, uncorrected in meV per atom: 2024
Spin magnetization in μB/f.u.: 0.00